Entry from the Alexandria database: a geometry-optimized LiFeSe2 structure (PBEsol).

Unit cell a=3.1686 b=3.3301 c=12.5851 alpha=90.00 beta=90.00 gamma=90.00
Space group Imm2 (No. 44)
Unique sites:
Li 0.0000 0.0000 0.0000 [2 per cell]
Fe 0.0000 0.5000 0.2424 [2 per cell]
Se 0.0000 0.0000 0.6004 [2 per cell]
Se 0.0000 0.5000 0.8278 [2 per cell]

Values from the calculation:
- Spin magnetization: 0.61 μB/atom
- Final energy: -40.5 eV per cell
- Formation energy (no corrections): -1.64 eV per formula unit

Entry from the Alexandria database: a geometry-optimized Ca3Mg structure (PBEsol).

Unit cell a=4.1103 b=11.7203 c=5.9124 alpha=90.00 beta=90.00 gamma=90.00
Space group Imm2 (No. 44)
Unique sites:
Ca 0.0000 0.0000 0.0000 [2 per cell]
Ca 0.0000 0.2271 0.4988 [4 per cell]
Mg 0.0000 0.5000 0.0001 [2 per cell]

Values from the calculation:
- Spin magnetization: 0.00 μB/atom
- E_form: -9.4 meV/atom
- Final energy: -16.3 eV per cell

Entry from the Alexandria database: a geometry-optimized SiWSe structure (PBEsol).

Unit cell a=5.9448 b=5.9448 c=5.9448 alpha=90.00 beta=90.00 gamma=90.00
Space group F-43m (No. 216)
Unique sites:
Si 0.0000 0.0000 0.0000 [4 per cell]
W 0.2500 0.2500 0.2500 [4 per cell]
Se 0.2500 0.2500 0.7500 [4 per cell]

Values from the calculation:
- Spin magnetization: 0.00 μB/atom
- Final energy: -83.3 eV per cell
- Formation energy (no corrections): 2.59 eV per formula unit

Entry from the Alexandria database: a geometry-optimized TiPSN2 structure (PBEsol).

Unit cell a=3.7854 b=3.7854 c=4.9615 alpha=90.00 beta=90.00 gamma=90.00
Space group P4/mmm (No. 123)
Unique sites:
Ti 0.0000 0.0000 0.0000 [1 per cell]
P 0.5000 0.5000 0.5000 [1 per cell]
S 0.0000 0.0000 0.5000 [1 per cell]
N 0.0000 0.5000 0.0000 [2 per cell]

Values from the calculation:
- Spin magnetization: 0.00 μB/atom
- Final energy: -32.9 eV per cell
- Formation energy (no corrections): 2.68 eV per formula unit

- Which formula does entry 3 have?
  SiWSe